VASP calculation (PBE) on a geometry-optimized Te2Mo3WSe4S2 structure.

Cell: 3.3418 3.3418 36.3827 Å, 90.00 90.00 120.00°
Closest atoms and distances in Å follow each position.
Atoms (fractional coordinates):
Mo: 0.0000 0.0000 0.2738  6 Se 2.55
Mo: 0.6667 0.3333 0.4755  6 Te 2.70-2.71
Mo: 0.6667 0.3333 0.0758  6 Se 2.55
Se: 0.6667 0.3333 0.2281  3 Mo 2.55
Se: 0.6667 0.3333 0.3197  3 Mo 2.55
Se: 0.0000 0.0000 0.0300  3 Mo 2.55
Se: 0.0000 0.0000 0.1216  3 Mo 2.55
S: 0.6667 0.3333 0.7195  3 W 2.46
S: 0.6667 0.3333 0.6359  3 W 2.46
Te: 0.0000 0.0000 0.5276  3 Mo 2.71
Te: 0.0000 0.0000 0.4234  3 Mo 2.70
W: 0.0000 0.0000 0.6777  6 S 2.46

Properties
- E_form (uncorrected): -6.9 eV/f.u.
- Calculated volume: 29.3 Å³/atom
- D(E_F): 0.23 states/eV/cell
- Polymorph energy (0 for the lowest one): 0 meV/atom